Record 1
First-principles (PBE) data for a relaxed structure of Th3Zn2Ge4, as listed in Alexandria via LeMat-Bulk.

Results
DOS at the Fermi energy   5.5 states/eV/f.u.
DFT total energy   -5.36 eV per atom
Formation energy from the elements   -549 meV/atom
Calculated volume   22.13 Å³/atom
SG   C2/m (12)

Cell: 5.987 5.987 8.542 Å, 102.31 102.31 41.91°
Sites, in units of the cell vectors:
Th1 0.000 0.000 0.000
Th2 0.338 0.338 0.328
Th3 0.662 0.662 0.672
Zn1 0.392 0.392 0.724
Zn2 0.608 0.608 0.276
Ge1 0.069 0.069 0.394
Ge2 0.278 0.278 0.937
Ge3 0.722 0.722 0.063
Ge4 0.931 0.931 0.606



Record 2
First-principles (PBE) data for a relaxed structure of Th2Zn2Ge3, as listed in Alexandria via LeMat-Bulk.

Results
DOS at the Fermi energy   3.4 states/eV/f.u.
DFT total energy   -4.90 eV per atom
Formation energy from the elements   -440 meV/atom
Calculated volume   21.33 Å³/atom
SG   Cmcm (63)

Cell: 10.055 10.055 6.990 Å, 90.00 90.00 155.01°
Sites, in units of the cell vectors:
Th1 0.046 0.954 0.750
Th2 0.161 0.839 0.250
Th3 0.839 0.161 0.750
Th4 0.954 0.046 0.250
Zn1 0.315 0.685 0.061
Zn2 0.315 0.685 0.439
Zn3 0.685 0.315 0.561
Zn4 0.685 0.315 0.939
Ge1 0.215 0.785 0.750
Ge2 0.435 0.565 0.565
Ge3 0.435 0.565 0.935
Ge4 0.565 0.435 0.065
Ge5 0.565 0.435 0.435
Ge6 0.785 0.215 0.250



Record 3
First-principles (PBE) data for a relaxed structure of ThZn3Ge, as listed in Alexandria via LeMat-Bulk.

Results
DOS at the Fermi energy   1.7 states/eV/f.u.
DFT total energy   -3.54 eV per atom
Formation energy from the elements   -366 meV/atom
Calculated volume   18.98 Å³/atom
SG   Cmcm (63)

Cell: 6.128 6.128 5.936 Å, 90.00 90.00 121.63°
Sites, in units of the cell vectors:
Th1 0.250 0.750 0.750
Th2 0.750 0.250 0.250
Zn1 0.125 0.875 0.250
Zn2 0.252 0.252 0.000
Zn3 0.252 0.252 0.500
Zn4 0.748 0.748 0.000
Zn5 0.748 0.748 0.500
Zn6 0.875 0.125 0.750
Ge1 0.356 0.644 0.250
Ge2 0.644 0.356 0.750



Record 4
First-principles (PBE) data for a relaxed structure of Th4Zn5Ge6, as listed in Alexandria via LeMat-Bulk.

Results
DOS at the Fermi energy   6.8 states/eV/f.u.
DFT total energy   -4.71 eV per atom
Formation energy from the elements   -463 meV/atom
Calculated volume   21.80 Å³/atom
SG   Cmc2_1 (36)

Cell: 9.815 9.815 15.794 Å, 90.00 90.00 154.54°
Sites, in units of the cell vectors:
Th1 0.025 0.975 0.500
Th2 0.031 0.969 0.763
Th3 0.172 0.828 0.305
Th4 0.176 0.824 0.948
Th5 0.824 0.176 0.448
Th6 0.828 0.172 0.805
Th7 0.969 0.031 0.263
Th8 0.975 0.025 0.000
Zn1 0.149 0.851 0.628
Zn2 0.299 0.701 0.627
Zn3 0.346 0.654 0.282
Zn4 0.348 0.652 0.975
Zn5 0.430 0.570 0.689
Zn6 0.570 0.430 0.189
Zn7 0.652 0.348 0.475
Zn8 0.654 0.346 0.782
Zn9 0.701 0.299 0.127
Zn10 0.851 0.149 0.128
Ge1 0.109 0.891 0.121
Ge2 0.217 0.783 0.493
Ge3 0.220 0.780 0.762
Ge4 0.432 0.568 0.409
Ge5 0.436 0.564 0.856
Ge6 0.438 0.562 0.131
Ge7 0.562 0.438 0.631
Ge8 0.564 0.436 0.356
Ge9 0.568 0.432 0.909
Ge10 0.780 0.220 0.262
Ge11 0.783 0.217 0.993
Ge12 0.891 0.109 0.621



Record 5
First-principles (PBE) data for a relaxed structure of Th3Zn6Ge5, as listed in Alexandria via LeMat-Bulk.

Results
DOS at the Fermi energy   6.5 states/eV/f.u.
DFT total energy   -4.15 eV per atom
Formation energy from the elements   -369 meV/atom
Calculated volume   19.70 Å³/atom
SG   Pmmn (59)

Cell: 4.227 12.608 10.350 Å, 90.00 90.00 90.00°
Sites, in units of the cell vectors:
Th1 0.250 0.079 0.243
Th2 0.250 0.421 0.243
Th3 0.250 0.750 0.240
Th4 0.750 0.250 0.760
Th5 0.750 0.579 0.757
Th6 0.750 0.921 0.757
Zn1 0.250 0.082 0.888
Zn2 0.250 0.250 0.026
Zn3 0.250 0.250 0.487
Zn4 0.250 0.418 0.888
Zn5 0.250 0.593 0.506
Zn6 0.250 0.907 0.506
Zn7 0.750 0.093 0.494
Zn8 0.750 0.407 0.494
Zn9 0.750 0.582 0.112
Zn10 0.750 0.750 0.513
Zn11 0.750 0.750 0.974
Zn12 0.750 0.918 0.112
Ge1 0.250 0.085 0.643
Ge2 0.250 0.415 0.643
Ge3 0.250 0.613 0.981
Ge4 0.250 0.750 0.686
Ge5 0.250 0.887 0.981
Ge6 0.750 0.113 0.019
Ge7 0.750 0.250 0.314
Ge8 0.750 0.387 0.019
Ge9 0.750 0.585 0.357
Ge10 0.750 0.915 0.357



Record 6
First-principles (PBE) data for a relaxed structure of ThZn3Ge2, as listed in Alexandria via LeMat-Bulk.

Results
DOS at the Fermi energy   1.5 states/eV/f.u.
DFT total energy   -3.68 eV per atom
Formation energy from the elements   -264 meV/atom
Calculated volume   19.64 Å³/atom
SG   C2/m (12)

Cell: 7.914 7.914 8.454 Å, 120.94 120.94 31.78°
Sites, in units of the cell vectors:
Th1 0.148 0.148 0.217
Th2 0.852 0.852 0.783
Zn1 0.060 0.060 0.734
Zn2 0.273 0.273 0.968
Zn3 0.418 0.418 0.513
Zn4 0.582 0.582 0.487
Zn5 0.727 0.727 0.032
Zn6 0.940 0.940 0.266
Ge1 0.182 0.182 0.607
Ge2 0.473 0.473 0.120
Ge3 0.527 0.527 0.880
Ge4 0.818 0.818 0.393



Record 7
First-principles (PBE) data for a relaxed structure of Th3Zn2Ge3, as listed in Alexandria via LeMat-Bulk.

Results
DOS at the Fermi energy   4.1 states/eV/f.u.
DFT total energy   -5.40 eV per atom
Formation energy from the elements   -564 meV/atom
Calculated volume   22.72 Å³/atom
SG   Cmcm (63)

Cell: 6.055 6.055 15.126 Å, 90.00 90.00 139.04°
Sites, in units of the cell vectors:
Th1 0.070 0.930 0.611
Th2 0.070 0.930 0.889
Th3 0.358 0.642 0.750
Th4 0.642 0.358 0.250
Th5 0.930 0.070 0.111
Th6 0.930 0.070 0.389
Zn1 0.219 0.781 0.102
Zn2 0.219 0.781 0.398
Zn3 0.781 0.219 0.602
Zn4 0.781 0.219 0.898
Ge1 0.361 0.639 0.250
Ge2 0.379 0.621 0.543
Ge3 0.379 0.621 0.957
Ge4 0.621 0.379 0.043
Ge5 0.621 0.379 0.457
Ge6 0.639 0.361 0.750



Record 8
First-principles (PBE) data for a relaxed structure of ThZnGe, as listed in Alexandria via LeMat-Bulk.

Results
DOS at the Fermi energy   2.5 states/eV/f.u.
DFT total energy   -4.60 eV per atom
Formation energy from the elements   -164 meV/atom
Calculated volume   23.89 Å³/atom
SG   I4mm (107)

Cell: 5.154 5.154 5.154 Å, 133.10 133.10 68.49°
Sites, in units of the cell vectors:
Th1 0.000 0.000 0.000
Zn1 0.656 0.656 0.000
Ge1 0.352 0.352 0.000



Record 9
First-principles (PBE) data for a relaxed structure of Th2Zn5Ge, as listed in Alexandria via LeMat-Bulk.

Results
DOS at the Fermi energy   1.8 states/eV/f.u.
DFT total energy   -3.64 eV per atom
Formation energy from the elements   -408 meV/atom
Calculated volume   19.86 Å³/atom
SG   Cmcm (63)

Cell: 8.385 8.385 8.883 Å, 90.00 90.00 149.41°
Sites, in units of the cell vectors:
Th1 0.000 0.000 0.000
Th2 0.000 0.000 0.500
Th3 0.202 0.798 0.750
Th4 0.798 0.202 0.250
Zn1 0.185 0.815 0.106
Zn2 0.185 0.815 0.394
Zn3 0.349 0.651 0.019
Zn4 0.349 0.651 0.481
Zn5 0.402 0.598 0.750
Zn6 0.598 0.402 0.250
Zn7 0.651 0.349 0.519
Zn8 0.651 0.349 0.981
Zn9 0.815 0.185 0.606
Zn10 0.815 0.185 0.894
Ge1 0.443 0.557 0.250
Ge2 0.557 0.443 0.750



Record 10
First-principles (PBE) data for a relaxed structure of ThZr2Ge2, as listed in Alexandria via LeMat-Bulk.

Results
DOS at the Fermi energy   3.0 states/eV/f.u.
DFT total energy   -7.28 eV per atom
Formation energy from the elements   -525 meV/atom
E above lowest polymorph   0.000 eV/atom
Calculated volume   23.14 Å³/atom
SG   C2/m (12)

Cell: 5.937 5.937 5.420 Å, 102.13 102.13 38.42°
Sites, in units of the cell vectors:
Th1 0.000 0.000 0.000
Zr1 0.359 0.359 0.424
Zr2 0.641 0.641 0.576
Ge1 0.283 0.283 0.870
Ge2 0.717 0.717 0.130



Record 11
First-principles (PBE) data for a relaxed structure of ThZr3Ge3, as listed in Alexandria via LeMat-Bulk.

Results
DOS at the Fermi energy   5.2 states/eV/f.u.
DFT total energy   -7.18 eV per atom
Formation energy from the elements   -480 meV/atom
Calculated volume   23.75 Å³/atom
SG   R-3 (148)

Cell: 7.271 7.271 7.271 Å, 70.87 70.87 70.87°
Sites, in units of the cell vectors:
Th1 0.170 0.170 0.170
Th2 0.830 0.830 0.830
Zr1 0.157 0.410 0.668
Zr2 0.332 0.843 0.590
Zr3 0.410 0.668 0.157
Zr4 0.590 0.332 0.843
Zr5 0.668 0.157 0.410
Zr6 0.843 0.590 0.332
Ge1 0.051 0.788 0.417
Ge2 0.212 0.583 0.949
Ge3 0.417 0.051 0.788
Ge4 0.583 0.949 0.212
Ge5 0.788 0.417 0.051
Ge6 0.949 0.212 0.583



Record 12
First-principles (PBE) data for a relaxed structure of ThZrGe, as listed in Alexandria via LeMat-Bulk.

Results
DOS at the Fermi energy   4.6 states/eV/f.u.
DFT total energy   -7.07 eV per atom
Formation energy from the elements   -208 meV/atom
Calculated volume   24.95 Å³/atom
SG   P-6m2 (187)

Cell: 4.765 4.765 3.807 Å, 90.00 90.00 120.00°
Sites, in units of the cell vectors:
Th1 0.000 0.000 0.000
Zr1 0.333 0.667 0.500
Ge1 0.667 0.333 0.500



Record 13
First-principles (PBE) data for a relaxed structure of ThZr2Ge2, as listed in Alexandria via LeMat-Bulk.

Results
DOS at the Fermi energy   5.9 states/eV/f.u.
DFT total energy   -7.12 eV per atom
Formation energy from the elements   -370 meV/atom
E above lowest polymorph   0.156 eV/atom
Calculated volume   24.84 Å³/atom
SG   C2/c (15)

Cell: 7.180 7.180 5.825 Å, 110.25 110.25 100.44°
Sites, in units of the cell vectors:
Th1 0.115 0.885 0.750
Th2 0.885 0.115 0.250
Zr1 0.227 0.428 0.010
Zr2 0.428 0.227 0.510
Zr3 0.572 0.773 0.490
Zr4 0.773 0.572 0.990
Ge1 0.181 0.819 0.250
Ge2 0.383 0.617 0.750
Ge3 0.617 0.383 0.250
Ge4 0.819 0.181 0.750



Record 14
First-principles (PBE) data for a relaxed structure of Ti3Ge2, as listed in Alexandria via LeMat-Bulk.

Results
DOS at the Fermi energy   5.2 states/eV/f.u.
DFT total energy   -6.97 eV per atom
Formation energy from the elements   -387 meV/atom
Calculated volume   16.00 Å³/atom
SG   R-3m (166)

Cell: 5.321 5.321 5.321 Å, 49.48 49.48 49.48°
Sites, in units of the cell vectors:
Ti1 0.000 0.000 0.000
Ti2 0.199 0.199 0.199
Ti3 0.801 0.801 0.801
Ge1 0.406 0.406 0.406
Ge2 0.594 0.594 0.594



Record 15
First-principles (PBE) data for a relaxed structure of Ti4Ge5, as listed in Alexandria via LeMat-Bulk.

Results
DOS at the Fermi energy   4.3 states/eV/f.u.
DFT total energy   -6.35 eV per atom
Formation energy from the elements   -274 meV/atom
Calculated volume   17.84 Å³/atom
SG   I4/m (87)

Cell: 6.142 6.142 6.142 Å, 100.22 100.22 130.17°
Sites, in units of the cell vectors:
Ti1 0.085 0.685 0.770
Ti2 0.315 0.085 0.401
Ti3 0.685 0.915 0.599
Ti4 0.915 0.315 0.230
Ge1 0.000 0.000 0.000
Ge2 0.249 0.406 0.655
Ge3 0.406 0.751 0.157
Ge4 0.594 0.249 0.843
Ge5 0.751 0.594 0.345



Record 16
First-principles (PBE) data for a relaxed structure of Ti5Ge3, as listed in Alexandria via LeMat-Bulk.

Results
DOS at the Fermi energy   9.0 states/eV/f.u.
DFT total energy   -7.29 eV per atom
Formation energy from the elements   -629 meV/atom
E above lowest polymorph   0.069 eV/atom
Calculated volume   16.17 Å³/atom
SG   I4/mcm (140)

Cell: 7.478 7.478 7.478 Å, 126.92 126.92 78.38°
Sites, in units of the cell vectors:
Ti1 0.000 0.000 0.000
Ti2 0.005 0.505 0.819
Ti3 0.186 0.005 0.500
Ti4 0.314 0.814 0.819
Ti5 0.495 0.314 0.500
Ti6 0.500 0.500 0.000
Ti7 0.505 0.686 0.500
Ti8 0.686 0.186 0.181
Ti9 0.814 0.995 0.500
Ti10 0.995 0.495 0.181
Ge1 0.139 0.361 0.500
Ge2 0.250 0.250 0.000
Ge3 0.361 0.861 0.223
Ge4 0.639 0.139 0.777
Ge5 0.750 0.750 0.000
Ge6 0.861 0.639 0.500



Record 17
First-principles (PBE) data for a relaxed structure of Ti4Ge, as listed in Alexandria via LeMat-Bulk.

Results
DOS at the Fermi energy   8.0 states/eV/f.u.
DFT total energy   -6.75 eV per atom
Formation energy from the elements   489 meV/atom
E above lowest polymorph   0.750 eV/atom
Calculated volume   20.87 Å³/atom
SG   Pm-3m (221)

Cell: 4.708 4.708 4.708 Å, 90.00 90.00 90.00°
Sites, in units of the cell vectors:
Ti1 0.000 0.000 0.000
Ti2 0.000 0.500 0.500
Ti3 0.500 0.000 0.500
Ti4 0.500 0.500 0.000
Ge1 0.500 0.500 0.500



Record 18
First-principles (PBE) data for a relaxed structure of Ti5Ge, as listed in Alexandria via LeMat-Bulk.

Results
DOS at the Fermi energy   8.0 states/eV/f.u.
DFT total energy   -7.57 eV per atom
Formation energy from the elements   -222 meV/atom
E above lowest polymorph   0.033 eV/atom
Calculated volume   16.62 Å³/atom
SG   P-62m (189)

Cell: 5.010 5.010 4.587 Å, 90.00 90.00 120.00°
Sites, in units of the cell vectors:
Ti1 0.000 0.686 0.000
Ti2 0.314 0.314 0.000
Ti3 0.333 0.667 0.500
Ti4 0.667 0.333 0.500
Ti5 0.686 0.000 0.000
Ge1 0.000 0.000 0.500



Record 19
First-principles (PBE) data for a relaxed structure of Ti5Ge6, as listed in Alexandria via LeMat-Bulk.

Results
DOS at the Fermi energy   4.2 states/eV/f.u.
DFT total energy   -6.51 eV per atom
Formation energy from the elements   -403 meV/atom
Calculated volume   16.80 Å³/atom
SG   C2/m (12)

Cell: 6.422 6.422 6.401 Å, 97.40 97.40 132.39°
Sites, in units of the cell vectors:
Ti1 0.000 0.000 0.000
Ti2 0.299 0.701 0.000
Ti3 0.347 0.653 0.500
Ti4 0.653 0.347 0.500
Ti5 0.701 0.299 0.000
Ge1 0.113 0.816 0.293
Ge2 0.184 0.887 0.707
Ge3 0.452 0.452 0.780
Ge4 0.548 0.548 0.220
Ge5 0.816 0.113 0.293
Ge6 0.887 0.184 0.707



Record 20
First-principles (PBE) data for a relaxed structure of Ti5Ge2, as listed in Alexandria via LeMat-Bulk.

Results
DOS at the Fermi energy   6.8 states/eV/f.u.
DFT total energy   -7.39 eV per atom
Formation energy from the elements   -427 meV/atom
Calculated volume   16.86 Å³/atom
SG   C2/c (15)

Cell: 7.103 7.103 6.968 Å, 94.47 94.47 42.36°
Sites, in units of the cell vectors:
Ti1 0.150 0.309 0.316
Ti2 0.173 0.827 0.750
Ti3 0.257 0.553 0.069
Ti4 0.309 0.150 0.816
Ti5 0.447 0.743 0.431
Ti6 0.553 0.257 0.569
Ti7 0.691 0.850 0.184
Ti8 0.743 0.447 0.931
Ti9 0.827 0.173 0.250
Ti10 0.850 0.691 0.684
Ge1 0.071 0.725 0.421
Ge2 0.275 0.929 0.079
Ge3 0.725 0.071 0.921
Ge4 0.929 0.275 0.579